No. 1
Here is a geometry-optimized TbDy2Fe structure from Alexandria. Energies are from PBE.

The calculation puts the total magnetization at 0.00 μB per formula unit. Its energy above the most stable polymorph in this dataset is 0.00 kcal/mol of atoms. The calculation puts the theoretical density at 8.83 g/cm³. Its formation energy is -0.01 eV per atom. The volume is 25.36 A^3/atom.

The space group is Pnma (No. 62) and the conventional cell measures 7.0470, 9.1956 and 6.2626 Å, with angles of 90.00, 90.00 and 90.00 degrees. Symmetry generates all atoms from Tb at (0.0496, 0.2500, 0.1382), Dy at (0.1738, 0.0675, 0.6728) and Fe at (0.1098, 0.7500, 0.4658).



No. 2
Here is a geometry-optimized DyMg2Ga2Pd structure from Alexandria. Energies are from PBE.

The calculation puts the total magnetization at 0.00 μB per formula unit. The calculation puts the theoretical density at 5.34 g/cm³. Its formation energy is 0.02 eV per atom. The volume is 23.70 A^3/atom.

The space group is I4/mmm (No. 139) and the conventional cell measures 5.1558, 5.1558 and 10.6968 Å, with angles of 90.00, 90.00 and 90.00 degrees. Symmetry generates all atoms from Dy at (0.0000, 0.0000, 0.0000), Mg at (0.0000, 0.5000, 0.2500), Ga at (0.0000, 0.0000, 0.2765) and Pd at (0.0000, 0.0000, 0.5000).



Number 1: Fermi-level density of states 14.2 states/eV per cell. Number 2: Fermi-level density of states 7.8 states/eV per cell.